This record from Alexandria describes a PBEsol-optimized structure of ScOsCl2. The functional is meta-GGA SCAN.

CIF file:
```
data_ScOsCl2
_symmetry_space_group_name_H-M 'P 4/m m m'
_symmetry_Int_Tables_number 123
_symmetry_space_group_name_Hall '-P 4 2'
_cell_length_a 4.247
_cell_length_b 4.247
_cell_length_c 3.333
_cell_angle_alpha 90.00
_cell_angle_beta 90.00
_cell_angle_gamma 90.00
loop_
_atom_site_label
_atom_site_type_symbol
_atom_site_fract_x
_atom_site_fract_y
_atom_site_fract_z
_atom_site_occupancy
Sc1 Sc 0.000 0.000 0.000 1
Os1 Os 0.500 0.500 0.000 1
Cl1 Cl 0.000 0.500 0.500 1
```

Summary:
The total energy comes out at -101.27 eV for the cell shown.

This record from Alexandria describes a PBEsol-optimized structure of MoOsRh2. The functional is meta-GGA SCAN.

CIF file:
```
data_MoOsRh2
_symmetry_space_group_name_H-M 'P 4/m m m'
_symmetry_Int_Tables_number 123
_symmetry_space_group_name_Hall '-P 4 2'
_cell_length_a 3.786
_cell_length_b 3.786
_cell_length_c 3.883
_cell_angle_alpha 90.00
_cell_angle_beta 90.00
_cell_angle_gamma 90.00
loop_
_atom_site_label
_atom_site_type_symbol
_atom_site_fract_x
_atom_site_fract_y
_atom_site_fract_z
_atom_site_occupancy
Mo1 Mo 0.000 0.000 0.000 1
Os1 Os 0.500 0.500 0.000 1
Rh1 Rh 0.000 0.500 0.500 1
```

Summary:
The total energy comes out at -174.88 eV for the cell shown.

This record from Alexandria describes a PBEsol-optimized structure of ZnCuSe2N. The functional is meta-GGA SCAN.

CIF file:
```
data_ZnCuSe2N
_symmetry_space_group_name_H-M 'P 4/m m m'
_symmetry_Int_Tables_number 123
_symmetry_space_group_name_Hall '-P 4 2'
_cell_length_a 5.001
_cell_length_b 5.001
_cell_length_c 3.582
_cell_angle_alpha 90.00
_cell_angle_beta 90.00
_cell_angle_gamma 90.00
loop_
_atom_site_label
_atom_site_type_symbol
_atom_site_fract_x
_atom_site_fract_y
_atom_site_fract_z
_atom_site_occupancy
Zn1 Zn 0.000 0.000 0.000 1
Cu1 Cu 0.500 0.500 0.500 1
Se1 Se 0.000 0.500 0.000 1
N1 N 0.000 0.000 0.500 1
```

Summary:
The total energy comes out at -73.10 eV for the cell shown.

This record from Alexandria describes a PBEsol-optimized structure of InNi4Au. The functional is meta-GGA SCAN.

CIF file:
```
data_InNi4Au
_symmetry_space_group_name_H-M 'F -4 3 m'
_symmetry_Int_Tables_number 216
_symmetry_space_group_name_Hall 'F -4 2 3'
_cell_length_a 6.754
_cell_length_b 6.754
_cell_length_c 6.754
_cell_angle_alpha 90.00
_cell_angle_beta 90.00
_cell_angle_gamma 90.00
loop_
_atom_site_label
_atom_site_type_symbol
_atom_site_fract_x
_atom_site_fract_y
_atom_site_fract_z
_atom_site_occupancy
In1 In 0.000 0.000 0.000 1
Ni1 Ni 0.125 0.125 0.375 1
Au1 Au 0.250 0.250 0.750 1
```

Summary:
The total energy comes out at -667.98 eV for the cell shown.

This record from Alexandria describes a PBEsol-optimized structure of MnFeSiAs2. The functional is meta-GGA SCAN.

CIF file:
```
data_MnFeSiAs2
_symmetry_space_group_name_H-M 'P 4/m m m'
_symmetry_Int_Tables_number 123
_symmetry_space_group_name_Hall '-P 4 2'
_cell_length_a 4.311
_cell_length_b 4.311
_cell_length_c 4.749
_cell_angle_alpha 90.00
_cell_angle_beta 90.00
_cell_angle_gamma 90.00
loop_
_atom_site_label
_atom_site_type_symbol
_atom_site_fract_x
_atom_site_fract_y
_atom_site_fract_z
_atom_site_occupancy
Mn1 Mn 0.000 0.000 0.000 1
Fe1 Fe 0.000 0.000 0.500 1
Si1 Si 0.500 0.500 0.000 1
As1 As 0.000 0.500 0.500 1
```

Summary:
The total energy comes out at -83.86 eV for the cell shown.

This record from Alexandria describes a PBEsol-optimized structure of ScAg5. The functional is meta-GGA SCAN.

CIF file:
```
data_ScAg5
_symmetry_space_group_name_H-M 'C 1 2/m 1'
_symmetry_Int_Tables_number 12
_cell_length_a 9.181
_cell_length_b 4.055
_cell_length_c 5.807
_cell_angle_alpha 90.00
_cell_angle_beta 107.68
_cell_angle_gamma 90.00
loop_
_symmetry_equiv_pos_as_xyz
'x,y,z'
'-x,-y,-z'
'-x,y,-z'
'x,-y,z'
'x+1/2,y+1/2,z'
'-x+1/2,-y+1/2,-z'
'-x+1/2,y+1/2,-z'
'x+1/2,-y+1/2,z'
loop_
_atom_site_label
_atom_site_type_symbol
_atom_site_fract_x
_atom_site_fract_y
_atom_site_fract_z
_atom_site_occupancy
Sc1 Sc 0.000 0.000 0.000 1
Ag1 Ag 0.000 0.000 0.500 1
Ag2 Ag 0.166 0.500 0.832 1
Ag3 Ag 0.167 0.500 0.336 1
```

Summary:
The total energy comes out at -343.58 eV for the cell shown.

This record from Alexandria describes a PBEsol-optimized structure of NbSb3O8. The functional is meta-GGA SCAN.

CIF file:
```
data_NbSb3O8
_symmetry_space_group_name_H-M 'P 1'
_symmetry_Int_Tables_number 1
_cell_length_a 4.896
_cell_length_b 5.518
_cell_length_c 23.565
_cell_angle_alpha 90.08
_cell_angle_beta 90.00
_cell_angle_gamma 90.13
loop_
_symmetry_equiv_pos_as_xyz
'x,y,z'
loop_
_atom_site_label
_atom_site_type_symbol
_atom_site_fract_x
_atom_site_fract_y
_atom_site_fract_z
_atom_site_occupancy
Nb1 Nb 0.000 0.000 0.000 1
Nb2 Nb 0.003 0.262 0.250 1
Nb3 Nb 0.006 0.017 0.499 1
Nb4 Nb 0.488 0.518 0.499 1
Sb1 Sb 0.035 0.607 0.624 1
Sb2 Sb 0.042 0.602 0.123 1
Sb3 Sb 0.460 0.108 0.624 1
Sb4 Sb 0.464 0.105 0.125 1
Sb5 Sb 0.496 0.500 0.997 1
Sb6 Sb 0.498 0.760 0.749 1
Sb7 Sb 0.506 0.761 0.248 1
Sb8 Sb 0.537 0.154 0.874 1
Sb9 Sb 0.539 0.162 0.375 1
Sb10 Sb 0.955 0.660 0.374 1
Sb11 Sb 0.964 0.660 0.874 1
Sb12 Sb 0.998 0.259 0.750 1
O1 O 0.158 0.279 0.670 1
O2 O 0.167 0.282 0.169 1
O3 O 0.168 0.943 0.075 1
O4 O 0.169 0.940 0.576 1
O5 O 0.192 0.698 0.469 1
O6 O 0.201 0.976 0.778 1
O7 O 0.205 0.708 0.968 1
O8 O 0.207 0.983 0.273 1
O9 O 0.293 0.486 0.275 1
O10 O 0.296 0.476 0.778 1
O11 O 0.304 0.197 0.469 1
O12 O 0.305 0.205 0.969 1
O13 O 0.326 0.439 0.576 1
O14 O 0.338 0.779 0.169 1
O15 O 0.338 0.779 0.670 1
O16 O 0.340 0.443 0.075 1
O17 O 0.658 0.814 0.826 1
O18 O 0.658 0.820 0.326 1
O19 O 0.667 0.481 0.420 1
O20 O 0.668 0.479 0.919 1
O21 O 0.696 0.057 0.219 1
O22 O 0.697 0.051 0.718 1
O23 O 0.712 0.773 0.026 1
O24 O 0.715 0.767 0.525 1
O25 O 0.781 0.267 0.525 1
O26 O 0.793 0.277 0.023 1
O27 O 0.799 0.554 0.218 1
O28 O 0.800 0.551 0.719 1
O29 O 0.829 0.981 0.420 1
O30 O 0.833 0.977 0.919 1
O31 O 0.836 0.319 0.326 1
O32 O 0.840 0.314 0.826 1
```

Summary:
The total energy comes out at -867.56 eV for the cell shown.

This record from Alexandria describes a PBEsol-optimized structure of TlPd5Se. The functional is meta-GGA SCAN.

CIF file:
```
data_TlPd5Se
_symmetry_space_group_name_H-M 'P 4/m m m'
_symmetry_Int_Tables_number 123
_symmetry_space_group_name_Hall '-P 4 2'
_cell_length_a 4.022
_cell_length_b 4.022
_cell_length_c 7.073
_cell_angle_alpha 90.00
_cell_angle_beta 90.00
_cell_angle_gamma 90.00
loop_
_atom_site_label
_atom_site_type_symbol
_atom_site_fract_x
_atom_site_fract_y
_atom_site_fract_z
_atom_site_occupancy
Tl1 Tl 0.000 0.000 0.000 1
Pd1 Pd 0.000 0.500 0.286 1
Pd2 Pd 0.500 0.500 0.000 1
Se1 Se 0.500 0.500 0.500 1
```

Summary:
The total energy comes out at -257.98 eV for the cell shown.